# Nb2TlCrRe

A geometry-optimized Nb2TlCrRe structure (PBE-GGA, Alexandria via LeMat-Bulk).

abc: 4.885 5.248 4.885
angles: 90.00 90.00 90.00
Each line ends with the local moment (μB).
Atoms (fractional coordinates):
Cr: 0.500 0.500 0.500  3.95
Nb: 0.000 0.000 0.500  -0.48
Nb: 0.500 0.000 0.000  -0.79
Tl: 0.000 0.500 0.000  -0.01
Re: 0.000 0.000 0.000  0.18

Computed properties:
Crystal system: tetragonal
ρ (g/cm3): 8.33
Space-group type: No. 123
Volume (Å³/cell): 125.2
Calculated total energy (eV/f.u.): -37.47

=====

# La6Pm2NdSc

A geometry-optimized La6Pm2NdSc structure (PBE-GGA, Alexandria via LeMat-Bulk).

abc: 9.452 7.419 6.295
angles: 126.11 82.38 90.00
Atoms (fractional coordinates):
La: 0.266 0.592 0.735
La: 0.374 0.633 0.267
La: 0.626 0.367 0.733
La: 0.266 0.143 0.735
La: 0.734 0.408 0.265
La: 0.734 0.857 0.265
Pm: 0.053 0.156 0.313
Pm: 0.947 0.844 0.687
Nd: 0.500 0.000 0.000
Sc: 0.000 0.500 0.000

Computed properties:
Crystal system: monoclinic
ρ (g/cm3): 6.19
Space-group type: No. 12
Volume (Å³/cell): 351.9
Calculated total energy (eV/f.u.): -48.23

=====

# Li7Mg3In

A geometry-optimized Li7Mg3In structure (PBE-GGA, Alexandria via LeMat-Bulk).

abc: 3.015 10.342 14.757
angles: 90.00 90.00 98.38
Atoms (fractional coordinates):
Li: 0.257 0.513 0.421
Li: 0.500 0.999 0.412
Li: 0.743 0.487 0.921
Li: 0.611 0.222 0.250
Li: 0.500 0.001 0.912
Li: 0.500 0.001 0.588
Li: 0.375 0.751 0.154
Li: 0.389 0.778 0.750
Li: 0.500 0.999 0.088
Li: 0.257 0.513 0.079
Li: 0.625 0.249 0.846
Li: 0.625 0.249 0.654
Li: 0.375 0.751 0.346
Li: 0.743 0.487 0.579
Mg: 0.878 0.757 0.967
Mg: 0.122 0.243 0.467
Mg: 0.122 0.243 0.033
Mg: 0.242 0.485 0.750
Mg: 0.758 0.515 0.250
Mg: 0.878 0.757 0.533
In: 0.017 0.035 0.750
In: 0.983 0.965 0.250

Computed properties:
Crystal system: orthorhombic
ρ (g/cm3): 1.72
Space-group type: No. 63
Volume (Å³/cell): 455.2
Excess energy over the best structure of this formula in the dataset (meV per atom): 0
Calculated total energy (eV/f.u.): -21.25

=====

# Ac3Pd4Pb2Au2

A geometry-optimized Ac3Pd4Pb2Au2 structure (PBE-GGA, Alexandria via LeMat-Bulk).

abc: 4.727 4.727 15.040
angles: 90.00 90.00 120.00
Atoms (fractional coordinates):
Ac: 0.000 0.000 0.263
Ac: 0.000 0.000 0.737
Ac: 0.000 0.000 0.000
Pd: 0.333 0.667 0.377
Pd: 0.333 0.667 0.869
Pd: 0.667 0.333 0.131
Pd: 0.667 0.333 0.623
Pb: 0.667 0.333 0.433
Pb: 0.333 0.667 0.567
Au: 0.667 0.333 0.863
Au: 0.333 0.667 0.137

Computed properties:
Crystal system: trigonal
ρ (g/cm3): 10.93
Space-group type: No. 164
Volume (Å³/cell): 291.0
Calculated total energy (eV/f.u.): -54.35

=====

# Li2BOs

A geometry-optimized Li2BOs structure (PBE-GGA, Alexandria via LeMat-Bulk).

abc: 6.616 6.616 5.123
angles: 49.78 49.78 90.00
Atoms (fractional coordinates):
B: 0.500 0.500 0.000
B: 0.250 0.750 0.500
Li: 0.875 0.823 0.750
Li: 0.375 0.427 0.750
Li: 0.573 0.125 0.250
Li: 0.177 0.625 0.250
Os: 0.750 0.250 0.500
Os: 0.000 0.000 0.000

Computed properties:
Crystal system: tetragonal
ρ (g/cm3): 7.81
Space-group type: No. 122
Volume (Å³/cell): 91.4
Calculated total energy (eV/f.u.): -19.81

=====

# Tm2NpUN4

A geometry-optimized Tm2NpUN4 structure (PBE-GGA, Alexandria via LeMat-Bulk).

abc: 3.407 5.898 5.973
angles: 109.21 90.00 90.00
Each line ends with the local moment (μB).
Atoms (fractional coordinates):
Tm: 0.000 0.500 0.500  0.07
Tm: 0.500 0.000 0.500  0.05
N: 0.000 0.246 0.753  -0.09
N: 0.500 0.245 0.248  -0.07
N: 0.500 0.755 0.752  -0.07
N: 0.000 0.754 0.247  -0.09
Np: 0.500 0.500 0.000  3.19
U: 0.000 0.000 0.000  1.32

Computed properties:
Crystal system: monoclinic
ρ (g/cm3): 12.73
Space-group type: No. 10
Volume (Å³/cell): 113.3
Calculated total energy (eV/f.u.): -78.44

=====

# RbTaReO6

A geometry-optimized RbTaReO6 structure (PBE-GGA, Alexandria via LeMat-Bulk).

abc: 7.426 7.323 7.383
angles: 119.73 120.19 90.00
Each line ends with the local moment (μB).
Atoms (fractional coordinates):
O: 0.185 0.935 0.370  0.00
O: 0.449 0.699 0.899  0.00
O: 0.557 0.929 0.749  0.04
O: 0.193 0.929 0.749  0.04
O: 0.551 0.301 0.101  0.00
O: 0.443 0.680 0.251  0.04
O: 0.807 0.071 0.251  0.04
O: 0.807 0.680 0.251  0.04
O: 0.443 0.071 0.251  0.04
O: 0.815 0.065 0.630  0.00
O: 0.193 0.320 0.749  0.04
O: 0.557 0.320 0.749  0.04
Rb: 0.874 0.624 0.747  0.00
Rb: 0.126 0.376 0.253  0.00
Re: 0.500 0.500 0.000  0.49
Re: 0.500 0.000 0.000  0.49
Ta: 0.000 0.000 0.500  0.02
Ta: 0.500 0.000 0.500  0.02

Computed properties:
Crystal system: orthorhombic
ρ (g/cm3): 6.41
Space-group type: No. 74
Volume (Å³/cell): 284.2
Calculated total energy (eV/f.u.): -74.51

=====

# AcSiF6

A geometry-optimized AcSiF6 structure (PBE-GGA, Alexandria via LeMat-Bulk).

abc: 4.945 4.945 5.995
angles: 94.93 94.93 118.50
Each line ends with the local moment (μB).
Atoms (fractional coordinates):
F: 0.823 0.546 0.665  0.00
F: 0.454 0.177 0.335  0.00
F: 0.546 0.823 0.665  0.00
F: 0.177 0.454 0.335  0.00
F: 0.730 0.730 0.314  0.00
F: 0.270 0.270 0.686  0.00
Ac: 0.000 0.000 0.000  0.13
Si: 0.500 0.500 0.500  0.00

Computed properties:
Crystal system: monoclinic
ρ (g/cm3): 4.83
Space-group type: No. 12
Volume (Å³/cell): 127.0
Excess energy over the best structure of this formula in the dataset (meV per atom): 44
Calculated total energy (eV/f.u.): -46.59